A plane-wave DFT calculation with PBE was carried out for NbSiAgF2 after structural relaxation.

## Properties
- Space-group type: P4/mmm (123)
- Raw formation energy: -0.061 eV/atom

a = 3.9404 Å, b = 3.9404 Å, c = 6.2704 Å
α = 90.00°, β = 90.00°, γ = 90.00°
With the nearest neighbours (Å) after each atom.
Element x y z (fractional)
Nb1 0.0000 0.0000 0.5000  4 Si 2.79
Si1 0.5000 0.5000 0.5000  4 Nb 2.79
F1 0.5000 0.0000 0.0000  2 Ag 1.97
F2 0.0000 0.5000 0.0000  2 Ag 1.97
Ag1 0.0000 0.0000 0.0000  4 F 1.97

---

A plane-wave DFT calculation with PBE was carried out for BaCdSe2 after structural relaxation.

## Properties
- Space-group type: Pm (6)
- Raw formation energy: -1.233 eV/atom

a = 4.5200 Å, b = 4.4432 Å, c = 7.1577 Å
α = 76.05°, β = 90.00°, γ = 90.00°
With the nearest neighbours (Å) after each atom.
Element x y z (fractional)
Cd1 0.5000 0.9836 0.9636  3 Se 2.59-2.63
Se1 0.5000 0.0851 0.3056  1 Cd 2.59
Se2 0.0000 0.8961 0.7960  2 Cd 2.63
Ba1 0.0000 0.5352 0.4348  6 Se 3.29-3.35

---

A plane-wave DFT calculation with PBE was carried out for YMoOs2 after structural relaxation.

## Properties
- Relative energy among the computed polymorphs: 6.35 kcal/mol of atoms
- ΔE_f: 1.399 eV per formula unit
- Space-group type: Immm (71)

a = 5.3988 Å, b = 5.3988 Å, c = 5.3988 Å
α = 145.91°, β = 127.21°, γ = 64.35°
With the nearest neighbours (Å) after each atom.
Element x y z (fractional)
Mo1 0.2500 0.7500 0.5000  4 Os 2.61, 4 Y 2.87
Y1 0.7500 0.2500 0.5000  4 Mo 2.87, 8 Os 2.96-3.17, 2 Y 3.17
Os1 0.0234 0.0234 0.0000  2 Mo 2.61, 4 Os 2.91
Os2 0.4766 0.4766 0.0000  2 Mo 2.61, 4 Os 2.91

---

Number 1: VASP energy -4.48 eV per atom, total moment 0.69 μB per cell. Number 2: VASP energy -3.68 eV per atom, total moment 0.00 μB per cell. Number 3: VASP energy -9.59 eV per atom, total moment 0.00 μB per cell.